Compound: La4AlBr
Source: Alexandria via LeMat-Bulk
Functional: GGA-PBEsol
Structure: relaxed

Cell: 6.3486 6.3486 6.3486 Å, 60.00 60.00 60.00°
Fractional coordinates of all 6 atoms:
1 Al 0.7500 0.7500 0.7500
2 La 0.8668 0.3777 0.3777
3 La 0.3777 0.3777 0.3777
4 La 0.3777 0.8668 0.3777
5 Br 0.0000 0.0000 0.0000
6 La 0.3777 0.3777 0.8668

ΔE_f (raw) ... 0.10 eV/atom
Space-group type ... F-43m, No. 216